Computed, not measured: a relaxed MgHg2As crystal at the PBE level of DFT.

The formation energy from the elements is -0.043 eV per atom. The calculation puts the final energy at -7.0 eV/f.u.

a b c (Å): 3.1447 4.1030 7.3719
angles (deg): 90.00 90.00 90.00
Atoms (fractional coordinates):
Hg: 0.0000 0.0000 0.9985
Hg: 0.5000 0.5000 0.2589
Mg: 0.0000 0.0000 0.5597
As: 0.5000 0.5000 0.6828

Computed, not measured: a relaxed MgHg2As crystal at the PBE level of DFT.

The formation energy from the elements is -0.042 eV per atom. The calculation puts the final energy at -7.0 eV/f.u.

a b c (Å): 3.1724 3.1724 9.2967
angles (deg): 90.00 90.00 90.00
Atoms (fractional coordinates):
As: 0.5000 0.5000 0.6993
Hg: 0.0000 0.0000 0.9977
Hg: 0.5000 0.5000 0.2842
Mg: 0.0000 0.0000 0.5188

Computed, not measured: a relaxed MgHgAs2 crystal at the PBE level of DFT.

Its polymorph energy (0 for the lowest one) is 50.0 meV/atom. The formation energy from the elements is -0.011 eV per atom. The calculation puts the final energy at -11.2 eV/f.u.

a b c (Å): 3.1486 4.8308 5.6287
angles (deg): 90.00 90.00 90.00
Atoms (fractional coordinates):
Mg: 0.5000 0.5000 0.8749
As: 0.0000 0.0000 0.8750
As: 0.5000 0.5000 0.3750
Hg: 0.0000 0.0000 0.3750

Computed, not measured: a relaxed MgHg2As crystal at the PBE level of DFT.

The formation energy from the elements is -0.086 eV per atom. The calculation puts the final energy at -7.2 eV/f.u.

a b c (Å): 4.3228 4.3228 6.8056
angles (deg): 68.56 68.56 59.81
Atoms (fractional coordinates):
Hg: 0.9939 0.9939 0.0330
Hg: 0.7590 0.7590 0.7385
Mg: 0.5135 0.5135 0.4331
As: 0.2336 0.2336 0.2954

Computed, not measured: a relaxed Mg2Hg2As crystal at the PBE level of DFT.

Its polymorph energy (0 for the lowest one) is 0.0 meV/atom. The formation energy from the elements is -0.134 eV per atom. The calculation puts the final energy at -9.1 eV/f.u.

a b c (Å): 7.0868 7.0868 4.6425
angles (deg): 90.00 90.00 90.00
Atoms (fractional coordinates):
Mg: 0.8402 0.6598 0.0000
Mg: 0.3402 0.8402 0.0000
Mg: 0.1598 0.3402 0.0000
Mg: 0.6598 0.1598 0.0000
As: 0.5000 0.5000 0.0000
As: 0.0000 0.0000 0.0000
Hg: 0.1531 0.6531 0.5000
Hg: 0.3469 0.1531 0.5000
Hg: 0.6531 0.8469 0.5000
Hg: 0.8469 0.3469 0.5000

Computed, not measured: a relaxed MgHgAs2 crystal at the PBE level of DFT.

Its polymorph energy (0 for the lowest one) is 51.2 meV/atom. The formation energy from the elements is -0.010 eV per atom. The calculation puts the final energy at -11.2 eV/f.u.

a b c (Å): 4.7622 4.7622 4.3117
angles (deg): 76.41 76.41 104.28
Atoms (fractional coordinates):
Hg: 0.5000 0.0000 0.5000
As: 0.5000 0.5000 0.0000
As: 0.0000 0.0000 0.0000
Mg: 0.0000 0.5000 0.5000

Computed, not measured: a relaxed MgHg2As crystal at the PBE level of DFT.

The formation energy from the elements is 0.004 eV per atom. The calculation puts the final energy at -6.8 eV/f.u.

a b c (Å): 6.8996 6.8996 6.8996
angles (deg): 152.63 141.35 48.01
Atoms (fractional coordinates):
Mg: 0.5339 0.5339 0.0000
Hg: 0.9630 0.9630 0.0000
Hg: 0.2916 0.7916 0.5000
As: 0.7115 0.2115 0.5000

Computed, not measured: a relaxed Mg2HgAs2 crystal at the PBE level of DFT.

Its polymorph energy (0 for the lowest one) is 0.0 meV/atom. The formation energy from the elements is -0.354 eV per atom. The calculation puts the final energy at -14.6 eV/f.u.

a b c (Å): 4.8810 4.8810 5.9782
angles (deg): 65.91 65.91 90.00
Atoms (fractional coordinates):
As: 0.3736 0.3736 0.2527
As: 0.6264 0.6264 0.7473
Hg: 0.0000 0.0000 0.0000
Mg: 0.7500 0.2500 0.5000
Mg: 0.2500 0.7500 0.5000

Computed, not measured: a relaxed MgHgAs2 crystal at the PBE level of DFT.

Its polymorph energy (0 for the lowest one) is 251.0 meV/atom. The formation energy from the elements is 0.190 eV per atom. The calculation puts the final energy at -10.4 eV/f.u.

a b c (Å): 4.9262 4.9262 4.9262
angles (deg): 60.00 60.00 60.00
Atoms (fractional coordinates):
As: 0.2500 0.2500 0.2500
As: 0.7500 0.7500 0.7500
Hg: 0.5000 0.5000 0.5000
Mg: 0.0000 0.0000 0.0000

Computed, not measured: a relaxed MgHgAs2 crystal at the PBE level of DFT.

Its polymorph energy (0 for the lowest one) is 122.6 meV/atom. The formation energy from the elements is 0.062 eV per atom. The calculation puts the final energy at -10.9 eV/f.u.

a b c (Å): 5.0889 5.0889 8.6804
angles (deg): 72.95 72.95 90.00
Atoms (fractional coordinates):
As: 0.6033 0.1250 0.2500
As: 0.1467 0.6250 0.2500
As: 0.3750 0.3967 0.7500
As: 0.8750 0.8533 0.7500
Mg: 0.2500 0.7500 0.5000
Mg: 0.5000 0.5000 0.0000
Hg: 0.7500 0.2500 0.5000
Hg: 0.0000 0.0000 0.0000

Computed, not measured: a relaxed MgHgAs2 crystal at the PBE level of DFT.

Its polymorph energy (0 for the lowest one) is 144.6 meV/atom. The formation energy from the elements is 0.084 eV per atom. The calculation puts the final energy at -10.9 eV/f.u.

a b c (Å): 5.6118 5.6118 5.6118
angles (deg): 136.05 136.05 63.91
Atoms (fractional coordinates):
As: 0.5000 0.5000 0.0000
As: 0.0000 0.0000 0.0000
Mg: 0.7500 0.2500 0.5000
Hg: 0.2500 0.7500 0.5000

Computed, not measured: a relaxed MgHgAs crystal at the PBE level of DFT.

Its polymorph energy (0 for the lowest one) is 39.0 meV/atom. The formation energy from the elements is -0.062 eV per atom. The calculation puts the final energy at -6.7 eV/f.u.

a b c (Å): 3.5659 3.5659 6.0968
angles (deg): 90.00 90.00 120.00
Atoms (fractional coordinates):
As: 0.0000 0.0000 0.9828
Mg: 0.3333 0.6667 0.6832
Hg: 0.6667 0.3333 0.3341

Computed, not measured: a relaxed MgHg2As crystal at the PBE level of DFT.

The formation energy from the elements is 0.083 eV per atom. The calculation puts the final energy at -6.5 eV/f.u.

a b c (Å): 3.2116 3.2116 8.4765
angles (deg): 90.00 90.00 90.00
Atoms (fractional coordinates):
As: 0.5000 0.5000 0.7500
Mg: 0.5000 0.5000 0.2500
Hg: 0.0000 0.0000 0.0130
Hg: 0.0000 0.0000 0.4870

Computed, not measured: a relaxed MgHgAs2 crystal at the PBE level of DFT.

Its polymorph energy (0 for the lowest one) is 215.0 meV/atom. The formation energy from the elements is 0.154 eV per atom. The calculation puts the final energy at -10.6 eV/f.u.

a b c (Å): 4.9213 4.9213 4.9213
angles (deg): 60.00 60.00 60.00
Atoms (fractional coordinates):
As: 0.7500 0.7500 0.7500
As: 0.0000 0.0000 0.0000
Hg: 0.5000 0.5000 0.5000
Mg: 0.2500 0.2500 0.2500

Computed, not measured: a relaxed MgHg2As crystal at the PBE level of DFT.

The formation energy from the elements is -0.091 eV per atom. The calculation puts the final energy at -7.2 eV/f.u.

a b c (Å): 3.6321 4.1010 6.9059
angles (deg): 73.01 90.00 90.00
Atoms (fractional coordinates):
As: 0.5000 0.9956 0.6288
Mg: 0.0000 0.4884 0.6427
Hg: 0.0000 0.8060 0.0165
Hg: 0.5000 0.2100 0.2119

Computed, not measured: a relaxed MgHg2As crystal at the PBE level of DFT.

The formation energy from the elements is 0.011 eV per atom. The calculation puts the final energy at -6.8 eV/f.u.

a b c (Å): 6.0969 6.0969 6.0969
angles (deg): 150.01 127.38 61.76
Atoms (fractional coordinates):
As: 0.7500 0.2500 0.5000
Hg: 0.0059 0.0059 0.0000
Hg: 0.4941 0.4941 0.0000
Mg: 0.2500 0.7500 0.5000

Computed, not measured: a relaxed MgHgAs2N crystal at the PBE level of DFT.

Its uncorrected formation energy is 1.475 eV per atom. The calculation puts the final energy at -12.1 eV/f.u.

a b c (Å): 4.9907 5.6784 4.9907
angles (deg): 90.00 90.00 90.00
Site moments in Bohr magnetons follow the coordinates.
Atoms (fractional coordinates):
Mg: 0.0000 0.0000 0.0000  0.01
As: 0.0000 0.0000 0.5000  -0.09
As: 0.5000 0.0000 0.0000  -0.06
Hg: 0.0000 0.5000 0.0000  0.01
N: 0.5000 0.5000 0.5000  1.80

Computed, not measured: a relaxed Mg2HgAsN crystal at the PBE level of DFT.

Its uncorrected formation energy is 0.486 eV per atom. The calculation puts the final energy at -14.0 eV/f.u.

a b c (Å): 5.3960 3.7650 5.3960
angles (deg): 90.00 90.00 90.00
Atoms (fractional coordinates):
Mg: 0.0000 0.0000 0.5000
Mg: 0.5000 0.0000 0.0000
Hg: 0.5000 0.5000 0.5000
N: 0.0000 0.5000 0.0000
As: 0.0000 0.0000 0.0000

Computed, not measured: a relaxed MgNi2HgAs crystal at the PBE level of DFT.

The formation energy from the elements is 0.306 eV per atom. The calculation puts the final energy at -16.6 eV/f.u.

a b c (Å): 4.4069 5.2083 4.4069
angles (deg): 90.00 90.00 90.00
Atoms (fractional coordinates):
As: 0.0000 0.0000 0.0000
Hg: 0.0000 0.5000 0.0000
Ni: 0.0000 0.0000 0.5000
Ni: 0.5000 0.0000 0.0000
Mg: 0.5000 0.5000 0.5000

Computed, not measured: a relaxed MgHg2AsO4 crystal at the PBE level of DFT.

Its uncorrected formation energy is -1.155 eV per atom. The calculation puts the final energy at -35.9 eV/f.u.

a b c (Å): 5.8142 5.8142 5.8142
angles (deg): 88.39 120.93 120.93
Atoms (fractional coordinates):
As: 0.0000 0.5000 0.5000
O: 0.8623 0.4708 0.1534
O: 0.6826 0.3915 0.5292
O: 0.1377 0.2911 0.6085
O: 0.3174 0.8466 0.7089
Mg: 0.5000 0.2500 0.7500
Hg: 0.0000 0.0000 0.0000
Hg: 0.5000 0.7500 0.2500

Taking the records one at a time from the top gives N(E_F) values of 0.349 0.228 0.484 0.155 0.376 0.429 0.311 0.038 0.868 0.414 0.589 0.481 0.415 0.742 0.252 0.417 0.921 0.571 0.854 0.527 states/eV per atom.
Taking the records one at a time from the top gives size of the total moment values of 0.00 0.00 0.00 0.00 0.00 0.00 0.00 0.00 0.00 0.00 0.00 0.00 0.00 0.00 0.00 0.00 2.37 0.00 0.00 0.00 μB per formula unit.